# 1
The following is a DFT calculation (GGA-PBE) of BaCa2P after structural relaxation.

It has space group Cmmm (No. 65), with a = 6.4959 Å, b = 12.3359 Å, c = 4.2063 Å, α = 90.00°, β = 90.00° and γ = 90.00°. The distinct sites, in fractional coordinates, are Ba at (0.0000, 0.0000, 0.0000), Ca at (0.0000, 0.3464, 0.5000) and P at (0.0000, 0.5000, 0.0000).

The calculation puts the formation energy at -0.58 eV/atom.

# 2
The following is a DFT calculation (GGA-PBE) of BaCaP3 after structural relaxation.

It has space group Pm-3m (No. 221), with a = 5.2544 Å, b = 5.2544 Å, c = 5.2544 Å, α = 90.00°, β = 90.00° and γ = 90.00°. The distinct sites, in fractional coordinates, are Ba at (0.0000, 0.0000, 0.0000), Ca at (0.5000, 0.5000, 0.5000) and P at (0.0000, 0.5000, 0.5000).

The calculation puts the formation energy at 0.01 eV/atom. Its energy above the most stable polymorph in this dataset is 0.000 eV per atom.

# 3
The following is a DFT calculation (GGA-PBE) of BaCaP2Pd2 after structural relaxation.

It has space group P-3m1 (No. 164), with a = 4.1548 Å, b = 4.1548 Å, c = 9.0150 Å, α = 90.00°, β = 90.00° and γ = 120.00°. The distinct sites, in fractional coordinates, are Ba at (0.0000, 0.0000, 0.0000), Ca at (0.0000, 0.0000, 0.5000), P at (0.3333, 0.6667, 0.2682) and Pd at (0.3333, 0.6667, 0.7268).

The calculation puts the formation energy at -0.96 eV/atom.

# 4
The following is a DFT calculation (GGA-PBE) of Ba2CaP3Pd12 after structural relaxation.

It has space group R-3m (No. 166, hexagonal axes), with a = 8.9027 Å, b = 8.9027 Å, c = 16.2653 Å, α = 90.00°, β = 90.00° and γ = 120.00°. The distinct sites, in fractional coordinates, are Ba at (0.0000, 0.0000, 0.1067), Ca at (0.0000, 0.0000, 0.5000), P at (0.0000, 0.5000, 0.0000), Pd at (0.0104, 0.5052, 0.8623) and Pd at (0.0689, 0.5344, 0.3268).

The calculation puts the formation energy at -0.39 eV/atom.

# 5
The following is a DFT calculation (GGA-PBE) of BaCaP2Pt4 after structural relaxation.

It has space group P4/mmm (No. 123), with a = 4.1114 Å, b = 4.1114 Å, c = 10.4743 Å, α = 90.00°, β = 90.00° and γ = 90.00°. The distinct sites, in fractional coordinates, are Ba at (0.0000, 0.0000, 0.0000), Ca at (0.0000, 0.0000, 0.5000), P at (0.5000, 0.5000, 0.1809) and Pt at (0.0000, 0.5000, 0.2846).

The calculation puts the formation energy at -0.80 eV/atom.

# 6
The following is a DFT calculation (GGA-PBE) of RbBaCa2P after structural relaxation.

It has space group P4/mmm (No. 123), with a = 5.8254 Å, b = 5.8254 Å, c = 6.5099 Å, α = 90.00°, β = 90.00° and γ = 90.00°. The distinct sites, in fractional coordinates, are Rb at (0.0000, 0.0000, 0.0000), Ba at (0.5000, 0.5000, 0.0000), Ca at (0.0000, 0.5000, 0.5000) and P at (0.5000, 0.5000, 0.5000).

The calculation puts the formation energy at -0.36 eV/atom.

# 7
The following is a DFT calculation (GGA-PBE) of BaCaP2S after structural relaxation.

It has space group P4/mmm (No. 123), with a = 5.4873 Å, b = 5.4873 Å, c = 5.6633 Å, α = 90.00°, β = 90.00° and γ = 90.00°. The distinct sites, in fractional coordinates, are Ba at (0.0000, 0.0000, 0.0000), Ca at (0.5000, 0.5000, 0.5000), P at (0.0000, 0.5000, 0.0000) and S at (0.0000, 0.0000, 0.5000).

Its energy above the most stable polymorph in this dataset is 0.678 eV per atom.

# 8
The following is a DFT calculation (GGA-PBE) of BaCaP2S after structural relaxation.

It has space group P4/mmm (No. 123), with a = 5.2564 Å, b = 5.2564 Å, c = 5.2823 Å, α = 90.00°, β = 90.00° and γ = 90.00°. The distinct sites, in fractional coordinates, are Ba at (0.0000, 0.0000, 0.0000), Ca at (0.5000, 0.5000, 0.5000), P at (0.0000, 0.5000, 0.5000) and S at (0.5000, 0.5000, 0.0000).

Its energy above the most stable polymorph in this dataset is 0.000 eV per atom.